(1)
Compound: SiHgCl3
Source: Alexandria via LeMat-Bulk
Functional: PBE
Structure: optimized geometry

The structure in POSCAR format:
```
SiHgCl3
1.0
4.9303 0.0000 0.0000
0.0000 4.9303 0.0000
0.0000 0.0000 4.9303
Cl Si Hg
3 1 1
Cartesian
0.0000 2.4651 0.0000
0.0000 0.0000 2.4651
2.4651 0.0000 0.0000
0.0000 0.0000 0.0000
2.4651 2.4651 2.4651
```

## Properties
Distance to the lowest polymorph of the same formula = 288.9 meV per atom
Symmetry = No. 221
Mass density = 4.6 g/cm³

(2)
Compound: YSc2AlF
Source: Alexandria via LeMat-Bulk
Functional: PBE
Structure: optimized geometry

The structure in POSCAR format:
```
YSc2AlF
1.0
5.7754 0.0000 0.0000
0.0000 4.1423 0.0000
0.0000 0.0000 5.7754
Sc Y Al F
2 1 1 1
Cartesian
2.8877 0.0000 0.0000
0.0000 0.0000 2.8877
0.0000 0.0000 0.0000
2.8877 2.0711 2.8877
0.0000 2.0711 0.0000
```

## Properties
Symmetry = No. 123
Calculated total energy = -25.35 eV per cell
Mass density = 2.7 g/cm³